Record 1
5
Lattice="4.7370 0.0000 0.0000 0.0000 4.7370 0.0000 0.0000 0.0000 4.7370" Properties=species:S:1:pos:R:3 comment="BeTe3O, PBEsol geometry, DFT SCAN" mass_density_g_cm3=6.4 space_group=Pm-3m crystal_system=cubic formation_energy_uncorrected_ev_per_atom=0.617 pbc="T T T"
Be 0.0000 0.0000 0.0000
Te 0.0000 2.3685 2.3685
Te 2.3685 0.0000 2.3685
Te 2.3685 2.3685 0.0000
O 2.3685 2.3685 2.3685

Record 2
8
Lattice="4.1501 0.0000 0.0000 0.0000 4.6413 0.0000 0.0000 0.0000 8.3287" Properties=species:S:1:pos:R:3 comment="Mg2CdAs, PBEsol geometry, DFT SCAN" ef_ev_per_atom=-0.17 mass_density_g_cm3=4.9 space_group=Immm de_polymorph_ev_per_fu=0.35 crystal_system=orthorhombic pbc="T T T"
Mg 0.0000 0.0000 1.9923
Mg 0.0000 0.0000 6.3364
Mg 2.0750 2.3206 2.1721
Mg 2.0750 2.3206 6.1566
Cd 0.0000 2.3206 0.0000
Cd 2.0750 0.0000 4.1644
As 0.0000 2.3206 4.1644
As 2.0750 0.0000 0.0000

What did the second record say?
8
Lattice="4.1501 0.0000 0.0000 0.0000 4.6413 0.0000 0.0000 0.0000 8.3287" Properties=species:S:1:pos:R:3 comment="Mg2CdAs, PBEsol geometry, DFT SCAN" ef_ev_per_atom=-0.17 mass_density_g_cm3=4.9 space_group=Immm de_polymorph_ev_per_fu=0.35 crystal_system=orthorhombic pbc="T T T"
Mg 0.0000 0.0000 1.9923
Mg 0.0000 0.0000 6.3364
Mg 2.0750 2.3206 2.1721
Mg 2.0750 2.3206 6.1566
Cd 0.0000 2.3206 0.0000
Cd 2.0750 0.0000 4.1644
As 0.0000 2.3206 4.1644
As 2.0750 0.0000 0.0000